(1)
AcTb2Er9 PBE optimized geometry; VASP energy = -54.0 eV for the cell shown; formation enthalpy at 0 K = 3.9 kJ per mole of atoms; SG = P4/mmm (123)
1.0
5.0231 0.0000 0.0000
0.0000 5.0231 0.0000
0.0000 0.0000 15.0934
Er Ac Tb
9 1 2
direct
0.5000 0.5000 0.6629
0.5000 0.5000 0.0000
0.5000 0.5000 0.3371
0.0000 0.5000 0.5000
0.0000 0.5000 0.8258
0.5000 0.0000 0.1742
0.0000 0.5000 0.1742
0.5000 0.0000 0.5000
0.5000 0.0000 0.8258
0.0000 0.0000 0.0000
0.0000 0.0000 0.6640
0.0000 0.0000 0.3360

=====

(2)
CeScCd2Hg4 PBE optimized geometry; VASP energy = -17.7 eV for the cell shown; formation enthalpy at 0 K = -28.7 kJ per mole of atoms; SG = R-3m (166)
1.0
-1.3163 -3.3608 -3.5534
3.4219 -3.2909 -1.7648
-1.4675 -7.6689 4.1871
Ce Cd Hg Sc
1 2 4 1
direct
0.0000 0.0000 0.0000
0.7484 0.7484 0.7546
0.2516 0.2516 0.2454
0.1302 0.1302 0.6093
0.8698 0.8698 0.3907
0.6184 0.6184 0.1447
0.3816 0.3816 0.8553
0.5000 0.5000 0.5000

=====

(3)
Ce3Be4Ge4 PBE optimized geometry; VASP energy = -56.5 eV for the cell shown; formation enthalpy at 0 K = -46.8 kJ per mole of atoms; SG = Immm (71)
1.0
3.9537 0.0000 -0.6367
-0.1124 4.0883 -0.6979
-0.0953 -0.0591 12.0017
Ge Be Ce
4 4 3
direct
0.1962 0.6962 0.3924
0.5542 0.5542 0.1084
0.4458 0.4458 0.8916
0.8038 0.3038 0.6076
0.9017 0.4017 0.8034
0.0983 0.5983 0.1966
0.2492 0.2492 0.4983
0.7508 0.7508 0.5017
0.3505 0.8505 0.7010
0.6495 0.1495 0.2990
0.0000 0.0000 0.0000

=====

The lowest VASP energy belongs to which entry?
Ce3Be4Ge4

=====

Which of these has the highest formation enthalpy at 0 K?
AcTb2Er9

=====

What did the third record say?
Ce3Be4Ge4 PBE optimized geometry; VASP energy = -56.5 eV for the cell shown; formation enthalpy at 0 K = -46.8 kJ per mole of atoms; SG = Immm (71)
1.0
3.9537 0.0000 -0.6367
-0.1124 4.0883 -0.6979
-0.0953 -0.0591 12.0017
Ge Be Ce
4 4 3
direct
0.1962 0.6962 0.3924
0.5542 0.5542 0.1084
0.4458 0.4458 0.8916
0.8038 0.3038 0.6076
0.9017 0.4017 0.8034
0.0983 0.5983 0.1966
0.2492 0.2492 0.4983
0.7508 0.7508 0.5017
0.3505 0.8505 0.7010
0.6495 0.1495 0.2990
0.0000 0.0000 0.0000

=====

Please write out number 3 again, unchanged.
Ce3Be4Ge4 PBE optimized geometry; VASP energy = -56.5 eV for the cell shown; formation enthalpy at 0 K = -46.8 kJ per mole of atoms; SG = Immm (71)
1.0
3.9537 0.0000 -0.6367
-0.1124 4.0883 -0.6979
-0.0953 -0.0591 12.0017
Ge Be Ce
4 4 3
direct
0.1962 0.6962 0.3924
0.5542 0.5542 0.1084
0.4458 0.4458 0.8916
0.8038 0.3038 0.6076
0.9017 0.4017 0.8034
0.0983 0.5983 0.1966
0.2492 0.2492 0.4983
0.7508 0.7508 0.5017
0.3505 0.8505 0.7010
0.6495 0.1495 0.2990
0.0000 0.0000 0.0000